Record 1
Pa2Zn16Hg: relaxed, GGA-PBE.

POSCAR file:
```
Pa2Zn16Hg
1.0
4.528 2.614 4.409
-4.528 2.614 4.409
0.000 -5.229 4.409
Pa Zn Hg
2 16 1
Cartesian
0.000 0.000 0.000 Pa
0.000 0.000 4.212 Pa
0.000 -2.540 2.327 Zn
-2.200 1.270 2.327 Zn
-2.334 -1.347 6.548 Zn
0.000 -2.740 6.340 Zn
-2.373 1.370 6.340 Zn
-1.362 -2.369 8.751 Zn
-2.733 0.004 8.751 Zn
2.200 1.270 2.327 Zn
1.362 -2.369 8.751 Zn
-1.370 2.364 8.751 Zn
2.334 -1.347 6.548 Zn
0.000 2.695 6.548 Zn
0.000 0.000 10.152 Zn
2.373 1.370 6.340 Zn
2.733 0.004 8.751 Zn
1.370 2.364 8.751 Zn
0.000 0.000 7.398 Hg
```

***

Record 2
Pa2ZnHg: relaxed, GGA-PBE.

POSCAR file:
```
Pa2ZnHg
1.0
1.563 0.902 11.575
-1.563 0.902 11.575
0.000 -1.804 11.575
Pa Zn Hg
2 1 1
Cartesian
0.000 0.000 3.273 Pa
0.000 0.000 31.451 Pa
0.000 0.000 17.362 Zn
0.000 0.000 0.000 Hg
```

Relative energy among the computed polymorphs ... 0.206 eV/atom

***

Magnetization? In order: 0.14 0.20 μB per formula unit.
ΔH_f (0 K)? In order: -0.09 0.24 eV per atom.